[1]
# HfTa2Os

An optimized crystal structure of HfTa2Os (PBE, Alexandria).

## Properties
formation energy from the elements: 0.3331 eV/atom
space-group type: No. 122

a b c (Å): 7.599 7.599 6.037
angles (deg): 51.00 51.00 90.00
Atoms (fractional coordinates):
Hf: 0.500 0.500 0.000
Hf: 0.250 0.750 0.500
Os: 0.000 0.000 0.000
Os: 0.750 0.250 0.500
Ta: 0.668 0.125 0.250
Ta: 0.082 0.625 0.250
Ta: 0.375 0.332 0.750
Ta: 0.875 0.918 0.750

---

[2]
# CrMo7

An optimized crystal structure of CrMo7 (PBE, Alexandria).

## Properties
offset from the most stable computed form: 0.0 meV per atom
formation energy from the elements: 0.0307 eV/atom
space-group type: No. 166

a b c (Å): 6.271 6.271 6.271
angles (deg): 89.89 89.89 89.89
Atoms (fractional coordinates):
Cr: 0.251 0.251 0.251
Cr: 0.499 0.499 0.499
Mo: 0.002 0.002 0.002
Mo: 0.498 0.002 0.002
Mo: 0.002 0.498 0.002
Mo: 0.498 0.498 0.003
Mo: 0.747 0.252 0.252
Mo: 0.252 0.747 0.252
Mo: 0.748 0.748 0.252
Mo: 0.002 0.002 0.498
Mo: 0.498 0.003 0.498
Mo: 0.003 0.498 0.498
Mo: 0.252 0.252 0.747
Mo: 0.748 0.252 0.748
Mo: 0.252 0.748 0.748
Mo: 0.748 0.748 0.748

---

[3]
# Ba3Mo

An optimized crystal structure of Ba3Mo (PBE, Alexandria).

## Properties
offset from the most stable computed form: 136.5 meV per atom
formation energy from the elements: 0.9029 eV/atom
space-group type: No. 194

a b c (Å): 7.961 7.961 12.528
angles (deg): 90.00 90.00 120.00
Atoms (fractional coordinates):
Mo: 0.000 0.000 0.000
Mo: 0.000 0.000 0.500
Mo: 0.333 0.667 0.250
Mo: 0.667 0.333 0.750
Ba: 0.500 0.000 0.000
Ba: 0.500 0.000 0.500
Ba: 0.000 0.500 0.000
Ba: 0.500 0.500 0.000
Ba: 0.500 0.500 0.500
Ba: 0.000 0.500 0.500
Ba: 0.844 0.688 0.250
Ba: 0.156 0.312 0.750
Ba: 0.312 0.156 0.250
Ba: 0.844 0.156 0.250
Ba: 0.156 0.844 0.750
Ba: 0.688 0.844 0.750

---

[4]
# Sr2GdI

An optimized crystal structure of Sr2GdI (PBE, Alexandria).

## Properties
offset from the most stable computed form: 213.9 meV per atom
space-group type: No. 166

a b c (Å): 4.007 4.007 12.698
angles (deg): 80.92 80.92 60.00
Atoms (fractional coordinates):
I: 0.500 0.500 0.500
Sr: 0.098 0.098 0.706
Sr: 0.902 0.902 0.294
Gd: 0.000 0.000 0.000

---

Number 1: E_tot -87.1 eV/cell, magnetic moment 0.0 Bohr magnetons per cell, DOS(E_F) 0.747 states/eV/atom. Number 2: E_tot -170.4 eV/cell, magnetic moment 0.0 Bohr magnetons per cell, DOS(E_F) 0.885 states/eV/atom. Number 3: E_tot -52.0 eV/cell, magnetic moment 11.9 Bohr magnetons per cell, DOS(E_F) 1.459 states/eV/atom. Number 4: E_tot -20.0 eV/cell, magnetic moment 7.8 Bohr magnetons per cell, DOS(E_F) 2.042 states/eV/atom.